No. 1
Below is a geometry-optimized LiZn2N structure, with properties calculated at the PBE level.

Cell: 5.9494 5.9494 8.4129 Å, 90.00 90.00 90.00°
Space group I-42d (No. 122)
One atom of each set of equivalent atoms:
Li  0.0000  0.0000  0.0000 (multiplicity 4)
Zn  0.1094  0.2500  0.6250 (multiplicity 8)
N  0.0000  0.0000  0.5000 (multiplicity 4)

=====

No. 2
Below is a geometry-optimized LiZnN structure, with properties calculated at the PBE level.

Cell: 7.4599 7.5257 9.8622 Å, 90.00 90.00 90.00°
Space group Fddd (No. 70, origin choice 2)
One atom of each set of equivalent atoms:
Li  0.1250  0.1250  0.0007 (multiplicity 16)
Zn  0.0000  0.0000  0.5000 (multiplicity 16)
N  0.1250  0.3577  0.1250 (multiplicity 16)

=====

No. 3
Below is a geometry-optimized LiZnN structure, with properties calculated at the PBE level.

Cell: 3.1255 3.1255 6.1122 Å, 90.00 90.00 90.00°
Space group I4mm (No. 107)
One atom of each set of equivalent atoms:
Li  0.0000  0.0000  0.0000 (multiplicity 2)
Zn  0.0000  0.0000  0.6515 (multiplicity 2)
N  0.0000  0.0000  0.3149 (multiplicity 2)

=====

No. 4
Below is a geometry-optimized Li3ZnN structure, with properties calculated at the PBE level.

Cell: 4.4692 4.4692 4.4692 Å, 90.00 90.00 90.00°
Space group Pm-3m (No. 221)
One atom of each set of equivalent atoms:
Li  0.0000  0.0000  0.5000 (multiplicity 3)
Zn  0.0000  0.0000  0.0000 (multiplicity 1)
N  0.5000  0.5000  0.5000 (multiplicity 1)

Calculated values
- energy above the most stable polymorph in this dataset (meV per atom) = 1229

=====

No. 5
Below is a geometry-optimized LiZnN2 structure, with properties calculated at the PBE level.

Cell: 3.6179 3.6179 12.1447 Å, 90.00 90.00 90.00°
Space group I-42d (No. 122)
One atom of each set of equivalent atoms:
Li  0.0000  0.0000  0.0000 (multiplicity 4)
Zn  0.0000  0.0000  0.5000 (multiplicity 4)
N  0.2216  0.2500  0.1250 (multiplicity 8)

=====

No. 6
Below is a geometry-optimized Li2ZnN structure, with properties calculated at the PBE level.

Cell: 5.5606 5.5606 5.5606 Å, 90.00 90.00 90.00°
Space group Fm-3m (No. 225)
One atom of each set of equivalent atoms:
Li  0.2500  0.2500  0.2500 (multiplicity 8)
Zn  0.0000  0.0000  0.0000 (multiplicity 4)
N  0.0000  0.0000  0.5000 (multiplicity 4)

Calculated values
- energy above the most stable polymorph in this dataset (meV per atom) = 422

=====

No. 7
Below is a geometry-optimized LiZr2ZnN structure, with properties calculated at the PBE level.

Cell: 4.4683 4.4683 3.9336 Å, 90.00 90.00 90.00°
Space group P4/mmm (No. 123)
One atom of each set of equivalent atoms:
Li  0.0000  0.0000  0.0000 (multiplicity 1)
Zr  0.0000  0.5000  0.5000 (multiplicity 2)
Zn  0.5000  0.5000  0.0000 (multiplicity 1)
N  0.0000  0.0000  0.5000 (multiplicity 1)

=====

No. 8
Below is a geometry-optimized LiZr2N3 structure, with properties calculated at the PBE level.

Cell: 11.4743 6.6771 4.4301 Å, 90.00 90.00 90.00°
Space group Cmcm (No. 63)
One atom of each set of equivalent atoms:
Li  0.0000  0.1339  0.2500 (multiplicity 4)
Zr  0.1591  0.3227  0.7500 (multiplicity 8)
N  0.0000  0.1866  0.7500 (multiplicity 4)
N  0.1820  0.3515  0.2500 (multiplicity 8)

Calculated values
- energy above the most stable polymorph in this dataset (meV per atom) = 0

=====

No. 9
Below is a geometry-optimized LiZr2N3 structure, with properties calculated at the PBE level.

Cell: 5.5512 3.2596 8.4995 Å, 90.00 107.49 90.00°
Space group P2_1/m (No. 11)
One atom of each set of equivalent atoms:
Li  0.0239  0.2500  0.3588 (multiplicity 2)
Zr  0.2386  0.2500  0.9834 (multiplicity 2)
Zr  0.4740  0.2500  0.6589 (multiplicity 2)
N  0.1636  0.7500  0.1381 (multiplicity 2)
N  0.2847  0.7500  0.5005 (multiplicity 2)
N  0.3600  0.7500  0.8381 (multiplicity 2)

Calculated values
- energy above the most stable polymorph in this dataset (meV per atom) = 20

=====

No. 10
Below is a geometry-optimized LiZr4N4 structure, with properties calculated at the PBE level.

Cell: 10.3753 4.5355 7.3325 Å, 90.00 134.96 90.00°
Space group C2/m (No. 12)
One atom of each set of equivalent atoms:
Li  0.0000  0.0000  0.0000 (multiplicity 2)
Zr  0.1172  0.5000  0.4317 (multiplicity 4)
Zr  0.1853  0.0000  0.8023 (multiplicity 4)
N  0.1039  0.0000  0.4107 (multiplicity 4)
N  0.1927  0.5000  0.7970 (multiplicity 4)

=====

No. 11
Below is a geometry-optimized Li2Zr3N4 structure, with properties calculated at the PBE level.

Cell: 10.8182 3.2168 7.9437 Å, 90.00 124.14 90.00°
Space group C2/m (No. 12)
One atom of each set of equivalent atoms:
Li  0.1343  0.0000  0.3874 (multiplicity 4)
Zr  0.0000  0.5000  0.0000 (multiplicity 2)
Zr  0.1912  0.5000  0.7882 (multiplicity 4)
N  0.0987  0.0000  0.9014 (multiplicity 4)
N  0.2213  0.5000  0.2979 (multiplicity 4)

=====

No. 12
Below is a geometry-optimized Li3ZrN structure, with properties calculated at the PBE level.

Cell: 5.2064 5.2064 5.2064 Å, 90.00 90.00 90.00°
Space group Pm-3m (No. 221)
One atom of each set of equivalent atoms:
Li  0.0000  0.0000  0.5000 (multiplicity 3)
Zr  0.0000  0.0000  0.0000 (multiplicity 1)
N  0.5000  0.5000  0.5000 (multiplicity 1)

Calculated values
- energy above the most stable polymorph in this dataset (meV per atom) = 1878

=====

Calculated magnetic moment in order - 0.000; 0.000; 0.000; 0.000; 0.000; 0.000; 0.000; 0.000; 0.000; 0.000; 0.000; 3.339 μB per cell
Calculated raw formation energy in order - 114; -63; 93; 505; 324; 108; -330; -777; -765; -1220; -1076; 1084 kJ/mol of formula units
Calculated total DFT energy (no corrections) in order - -46.42; -194.74; -21.10; -10.11; -65.91; -49.24; -32.03; -208.16; -103.84; -164.10; -147.85; -11.38 eV/cell